Entry 1:
A plane-wave DFT calculation with GGA-PBE was carried out for a relaxed structure of Ac2GaHg4.

For the density of states at the Fermi level, the calculation gives 0.726 states/eV/atom. The value obtained for the total DFT energy (no corrections) is -1.984 eV per atom. As for the volume: 222 Å³ per cell.

Cell and atoms, written as POSCAR:
```
Ac2GaHg4
1.0
5.067 0.000 0.000
0.000 5.067 0.000
-2.534 -2.534 8.655
Ac Hg Ga
2 4 1
Direct
0.647 0.647 0.294
0.353 0.353 0.706
0.834 0.834 0.667
0.000 0.500 0.000
0.500 0.000 0.000
0.166 0.166 0.333
0.000 0.000 0.000
```

---

Entry 2:
A plane-wave DFT calculation with GGA-PBE was carried out for a relaxed structure of Ac8GaHg2.

For the density of states at the Fermi level, the calculation gives 1.112 states/eV/atom. The value obtained for the total DFT energy (no corrections) is -3.525 eV per atom. As for the volume: 419 Å³ per cell.

Cell and atoms, written as POSCAR:
```
Ac8GaHg2
1.0
5.678 0.000 0.000
0.000 7.639 0.137
-2.839 -3.113 9.609
Ac Hg Ga
8 2 1
Direct
0.336 0.018 0.671
0.410 0.544 0.821
0.664 0.982 0.329
0.590 0.456 0.179
0.799 0.672 0.599
0.020 0.778 0.040
0.980 0.222 0.960
0.201 0.328 0.401
0.178 0.731 0.355
0.822 0.269 0.645
0.500 0.000 0.000
```